# Na2MgTiO4 (PBE-GGA, optimized geometry)
data_Na2MgTiO4
_chemical_formula_sum 'Na4 Mg2 Ti2 O8'
_cell_length_a 5.467
_cell_length_b 6.299
_cell_length_c 6.605
_cell_angle_alpha 90.00
_cell_angle_beta 90.00
_cell_angle_gamma 90.00
_symmetry_space_group_name_H-M 'P 1'
_symmetry_Int_Tables_number 1
loop_
_symmetry_equiv_pos_as_xyz
'x,y,z'
loop_
_atom_site_label
_atom_site_fract_x
_atom_site_fract_y
_atom_site_fract_z
Na1 0.487 0.335 0.252
Na2 0.487 0.335 0.748
Na3 0.987 0.665 0.752
Na4 0.987 0.665 0.248
Mg1 0.998 0.152 0.500
Mg2 0.498 0.848 0.000
Ti1 0.500 0.843 0.500
Ti2 0.000 0.157 0.000
O1 0.331 0.125 0.000
O2 0.831 0.875 0.500
O3 0.358 0.105 0.500
O4 0.858 0.895 0.000
O5 0.419 0.698 0.737
O6 0.919 0.302 0.237
O7 0.919 0.302 0.763
O8 0.419 0.698 0.263
# Raw formation energy ... -19.77 eV/f.u.
# DOS at the Fermi energy ... 0.0000 states/eV per atom
# Density ... 2.7 g/cm3
# Magnetization ... 0.000 μB/atom
# Crystal system ... orthorhombic